Entry 1:
Compound: Nd3Bi2Te2
Source: Alexandria via LeMat-Bulk
Functional: PBE
Structure: optimized geometry

Lattice parameters (Å, degrees): 4.5169 8.0462 8.9768 117.73 104.57 90.00
Closest atoms and distances in Å follow each position.
Fractional positions:
Nd (0.0000, 0.5000, 0.0000)  2 Te 3.20, 4 Bi 3.24
Nd (0.2674, 0.7555, 0.5348)  3 Te 3.13-3.23, 3 Bi 3.26-3.34
Nd (0.7326, 0.2445, 0.4652)  3 Te 3.13-3.23, 3 Bi 3.26-3.34
Bi (0.6320, 0.7822, 0.2640)  5 Nd 3.24-3.34
Bi (0.3680, 0.2178, 0.7360)  5 Nd 3.24-3.34
Te (0.8746, 0.6892, 0.7491)  4 Nd 3.13-3.23
Te (0.1254, 0.3108, 0.2509)  4 Nd 3.13-3.23

Properties
**ΔE_f (raw)**: -0.95 eV per atom
**Total moment**: 0.00 μB per formula unit

***

Entry 2:
Compound: Nd3Bi2Te
Source: Alexandria via LeMat-Bulk
Functional: PBE
Structure: optimized geometry

Lattice parameters (Å, degrees): 7.9254 7.9305 7.9305 120.10 99.59 99.59
Closest atoms and distances in Å follow each position.
Fractional positions:
Nd (0.0011, 0.1650, 0.3327)  4 Bi 3.22-3.24, 2 Te 3.24-3.25
Nd (0.5011, 0.3327, 0.1650)  4 Bi 3.22-3.24, 2 Te 3.24-3.25
Nd (0.0000, 0.5000, 0.0000)  2 Te 3.23, 4 Bi 3.23-3.24
Nd (0.9989, 0.8350, 0.6673)  4 Bi 3.22-3.24, 2 Te 3.24-3.25
Nd (0.5000, 0.0000, 0.5000)  2 Te 3.23, 4 Bi 3.23-3.24
Nd (0.4989, 0.6673, 0.8350)  4 Bi 3.22-3.24, 2 Te 3.24-3.25
Bi (0.2500, 0.9168, 0.0832)  6 Nd 3.22-3.24
Bi (0.2500, 0.2499, 0.7501)  6 Nd 3.23
Bi (0.7500, 0.0832, 0.9168)  6 Nd 3.22-3.24
Bi (0.7500, 0.7501, 0.2499)  6 Nd 3.23
Te (0.2500, 0.5837, 0.4163)  6 Nd 3.23-3.25
Te (0.7500, 0.4163, 0.5837)  6 Nd 3.23-3.25

Properties
**ΔE to the lowest computed polymorph**: 0 meV/atom
**ΔE_f (raw)**: -1.13 eV per atom
**Total moment**: 0.00 μB per formula unit

***

Entry 3:
Compound: Nd3BiTe2
Source: Alexandria via LeMat-Bulk
Functional: PBE
Structure: optimized geometry

Lattice parameters (Å, degrees): 4.5298 6.4149 7.8683 114.06 106.73 90.00
Closest atoms and distances in Å follow each position.
Fractional positions:
Nd (0.8332, 0.3332, 0.1663)  4 Te 3.21, 2 Bi 3.21
Nd (0.1668, 0.6668, 0.8337)  4 Te 3.21, 2 Bi 3.21
Nd (0.5000, 0.0000, 0.5000)  4 Te 3.21, 2 Bi 3.21
Bi (0.5000, 0.5000, 0.5000)  6 Nd 3.21
Te (0.8337, 0.8337, 0.1673)  6 Nd 3.21
Te (0.1663, 0.1663, 0.8327)  6 Nd 3.21

Properties
**ΔE to the lowest computed polymorph**: 2 meV/atom
**ΔE_f (raw)**: -1.28 eV per atom
**Total moment**: 0.00 μB per formula unit

***

Entry 4:
Compound: Nd2ThBi2Te2
Source: Alexandria via LeMat-Bulk
Functional: PBE
Structure: optimized geometry

Lattice parameters (Å, degrees): 6.1264 6.1264 8.9050 110.12 110.12 90.00
Closest atoms and distances in Å follow each position.
Fractional positions:
Nd (0.3854, 0.3854, 0.7708)  1 Te 2.93
Nd (0.6146, 0.6146, 0.2292)  1 Te 2.93
Th (0.0000, 0.0000, 0.0000)  4 Bi 3.06, 2 Te 3.07
Bi (0.0000, 0.5000, 0.0000)  2 Th 3.06
Bi (0.5000, 0.0000, 0.0000)  2 Th 3.06
Te (0.1971, 0.1971, 0.3943)  1 Nd 2.93, 1 Th 3.07
Te (0.8029, 0.8029, 0.6057)  1 Nd 2.93, 1 Th 3.07

Properties
**ΔE_f (raw)**: -0.59 eV per atom
**Total moment**: 0.00 μB per formula unit